A plane-wave DFT calculation with GGA+U was carried out for an optimized crystal structure of PmMn2TeO6.

- total magnetic moment (μB/f.u.) = 7.0
- total energy (eV/f.u.) = -69.93

Lattice parameters (Å, degrees): 5.6784 5.7523 5.6443 59.53 57.52 61.37
Site moments in Bohr magnetons follow the coordinates.
Fractional coordinates of all 10 atoms:
O 0.7074 0.1877 0.7380  0.00
O 0.8475 0.6669 0.1608  0.02
O 0.2229 0.8367 0.2673  0.01
O 0.3892 0.6968 0.7418  -0.01
O 0.1976 0.3522 0.7520  0.00
O 0.6377 0.3182 0.1668  0.00
Te 0.3291 0.3223 0.0635  0.03
Mn 0.0202 0.0096 0.9661  4.57
Mn 0.5138 0.5241 0.4329  2.13
Pm 0.7964 0.7471 0.7259  0.01